Model i:
Crystalline Rb2MgCuBr6 at its relaxed geometry. Source: Alexandria, functional PBE-GGA.

Cell lengths 7.911, 7.676, 10.349 Å; angles 90.00, 88.41, 90.00 degrees
Each line ends with the local moment (μB).
Sites, in units of the cell vectors:
Rb 0.998 0.987 0.253  0.00
Rb 0.498 0.513 0.753  0.00
Rb 0.002 0.013 0.747  0.00
Rb 0.502 0.487 0.247  0.00
Mg 0.500 0.000 0.000  0.00
Mg 0.000 0.500 0.500  0.00
Cu 0.500 0.000 0.500  0.43
Cu 0.000 0.500 0.000  0.43
Br 0.288 0.760 0.028  0.03
Br 0.788 0.740 0.528  0.03
Br 0.712 0.240 0.972  0.03
Br 0.212 0.260 0.472  0.03
Br 0.287 0.759 0.469  0.10
Br 0.787 0.741 0.969  0.10
Br 0.713 0.241 0.531  0.10
Br 0.213 0.259 0.031  0.10
Br 0.942 0.518 0.236  0.09
Br 0.442 0.982 0.736  0.09
Br 0.058 0.482 0.764  0.09
Br 0.558 0.018 0.264  0.09

Properties
Space-group type ... P2_1/c, No. 14
M_tot ... 1.0 μB per formula unit
Mass density ... 3.9 g cm⁻³


Model ii:
Crystalline Rb2MgCuBr6 at its relaxed geometry. Source: Alexandria, functional PBE-GGA.

Cell lengths 7.591, 7.591, 7.517 Å; angles 59.67, 59.67, 90.00 degrees
Each line ends with the local moment (μB).
Sites, in units of the cell vectors:
Mg 0.500 0.500 0.000  0.00
Cu 0.000 0.000 0.000  0.42
Br 0.236 0.236 0.528  0.09
Br 0.764 0.764 0.472  0.09
Br 0.252 0.252 0.000  0.07
Br 0.748 0.748 0.000  0.07
Br 0.748 0.252 0.000  0.07
Br 0.252 0.748 0.000  0.07
Rb 0.750 0.250 0.500  0.00
Rb 0.250 0.750 0.500  0.00

Properties
Space-group type ... I4/mmm, No. 139
M_tot ... 1.0 μB per formula unit
Mass density ... 4.0 g cm⁻³


Which one sits at the bottom of the stability order? model ii does.


Model i:
Crystalline MnCuBr2 at its relaxed geometry. Source: Alexandria, functional PBE-GGA.

Cell lengths 5.391, 5.391, 5.391 Å; angles 140.96, 104.78, 88.18 degrees
Each line ends with the local moment (μB).
Sites, in units of the cell vectors:
Br 0.996 0.996 0.000  0.03
Br 0.504 0.504 0.000  0.03
Cu 0.750 0.250 0.500  0.00
Mn 0.250 0.750 0.500  4.09

Properties
Space-group type ... Immm, No. 71
M_tot ... 4.5 μB per formula unit
Mass density ... 5.0 g cm⁻³


Model ii:
Crystalline MnCuBr2 at its relaxed geometry. Source: Alexandria, functional PBE-GGA.

Cell lengths 5.965, 5.965, 7.046 Å; angles 64.95, 64.95, 90.00 degrees
Each line ends with the local moment (μB).
Sites, in units of the cell vectors:
Mn 0.500 0.500 0.000  3.84
Mn 0.250 0.750 0.500  3.85
Cu 0.000 0.000 0.000  0.02
Cu 0.750 0.250 0.500  0.02
Br 0.636 0.125 0.250  0.03
Br 0.114 0.625 0.250  0.03
Br 0.375 0.364 0.750  0.03
Br 0.875 0.886 0.750  0.03

Properties
Space-group type ... I-42d, No. 122
M_tot ... 4.2 μB per formula unit
Mass density ... 4.6 g cm⁻³


Model iii:
Crystalline MnCuBr2 at its relaxed geometry. Source: Alexandria, functional PBE-GGA.

Cell lengths 7.865, 7.865, 7.865 Å; angles 153.82, 152.69, 38.19 degrees
Each line ends with the local moment (μB).
Sites, in units of the cell vectors:
Br 0.983 0.983 0.000  -0.02
Br 0.748 0.248 0.500  0.04
Cu 0.445 0.445 0.000  -0.01
Mn 0.324 0.824 0.500  3.93

Properties
Space-group type ... Imm2, No. 44
M_tot ... 4.0 μB per formula unit
Mass density ... 4.7 g cm⁻³


Which one sits at the bottom of the stability order? model i does.